<i>
A plane-wave DFT calculation with PBE-GGA was carried out for a geometry-optimized TbY2Er structure.

Spin magnetization, μB per atom: 0.0004
SG: No. 123

Geometry as POSCAR:
```
TbY2Er
1.0
5.029 0.000 0.000
0.000 5.024 0.000
0.000 0.000 5.024
Y Er Tb
2 1 1
Direct
0.000 0.000 0.500
0.000 0.500 0.000
0.500 0.000 0.000
0.500 0.500 0.500
```



<ii>
A plane-wave DFT calculation with PBE-GGA was carried out for a geometry-optimized TbY2Er structure.

Spin magnetization, μB per atom: 0.0005
SG: No. 8

Geometry as POSCAR:
```
TbY2Er
1.0
-2.771 -0.529 2.210
-0.601 -3.253 1.374
7.177 0.572 9.137
Er Tb Y
1 1 2
Direct
0.481 0.178 0.625
0.897 0.347 0.873
0.064 0.013 0.375
0.647 0.846 0.123
```



<iii>
A plane-wave DFT calculation with PBE-GGA was carried out for a geometry-optimized TbY2Er structure.

Spin magnetization, μB per atom: 0.0000
SG: No. 1

Geometry as POSCAR:
```
TbY2Er
1.0
-3.456 1.100 0.198
-2.642 -1.214 -6.048
2.384 -5.278 4.370
Y Tb Er
2 1 1
Direct
0.334 0.133 0.457
0.666 0.637 0.543
0.666 0.631 0.040
0.335 0.135 0.960
```



Most stable structure: <iii>



<i>
A plane-wave DFT calculation with PBE-GGA was carried out for a geometry-optimized TbY2Er structure.

Spin magnetization, μB per atom: 0.0001
SG: No. 123

Geometry as POSCAR:
```
TbY2Er
1.0
-1.607 1.002 3.005
-3.099 -1.198 -1.257
1.864 -9.031 4.009
Tb Er Y
1 1 2
Direct
0.500 0.500 0.500
0.500 0.500 0.000
0.000 0.000 0.752
0.000 0.000 0.248
```



<ii>
A plane-wave DFT calculation with PBE-GGA was carried out for a geometry-optimized TbY2Er structure.

Spin magnetization, μB per atom: 0.0066
SG: No. 225

Geometry as POSCAR:
```
TbY2Er
1.0
-1.445 4.826 -2.609
-5.458 1.125 -1.065
-2.667 4.094 2.882
Tb Y Er
1 2 1
Direct
0.000 0.000 0.000
0.250 0.250 0.250
0.750 0.750 0.750
0.500 0.500 0.500
```



Most stable structure: <i>



<i>
A plane-wave DFT calculation with PBE-GGA was carried out for a geometry-optimized Tb3Y2Er8 structure.

Spin magnetization, μB per atom: 0.0000
SG: No. 12

Geometry as POSCAR:
```
Tb3Y2Er8
1.0
5.387 -0.138 -1.357
-0.546 6.145 -2.794
0.174 1.642 11.785
Er Y Tb
8 2 3
Direct
0.575 0.575 0.149
0.425 0.425 0.851
0.153 0.413 0.304
0.153 0.891 0.304
0.847 0.109 0.696
0.316 0.816 0.633
0.847 0.587 0.696
0.684 0.184 0.367
0.276 0.277 0.554
0.724 0.723 0.446
0.000 0.266 0.000
0.500 0.000 0.000
0.000 0.734 0.000
```



<ii>
A plane-wave DFT calculation with PBE-GGA was carried out for a geometry-optimized Tb3Y2Er8 structure.

Spin magnetization, μB per atom: 0.0000
SG: No. 12

Geometry as POSCAR:
```
Tb3Y2Er8
1.0
5.503 0.000 0.746
0.000 7.578 0.000
-1.365 -3.789 10.025
Tb Er Y
3 8 2
Direct
0.500 0.000 0.000
0.000 0.713 0.000
0.000 0.287 0.000
0.001 0.665 0.331
0.000 0.132 0.264
0.500 0.820 0.217
0.500 0.180 0.783
0.500 0.396 0.217
0.500 0.604 0.783
0.999 0.335 0.669
0.000 0.868 0.736
0.499 0.241 0.483
0.501 0.759 0.517
```



Most stable structure: <i>